(1)
A plane-wave DFT calculation with PBE was carried out for crystalline Sc3Si3Os2 at its relaxed geometry.

Cell: 7.833 13.562 5.325 Å, 90.00 90.00 90.00°
Space group Pnma (No. 62)
Symmetry-distinct sites (fractional):
Sc (0.058, 0.115, 0.110) (multiplicity 8)
Sc (0.204, 0.250, 0.629) (multiplicity 4)
Si (0.143, 0.750, 0.608) (multiplicity 4)
Si (0.199, 0.041, 0.631) (multiplicity 8)
Os (0.085, 0.593, 0.396) (multiplicity 8)

Calculated values
Crystal system: orthorhombic
N(E_F): 23.1 states/eV per cell
Volume: 17.68 Å³/atom
ΔE_f (raw): -0.7434 eV per atom
E: -7.9588 eV/atom



(2)
A plane-wave DFT calculation with PBE was carried out for crystalline Sc3Si4Os2 at its relaxed geometry.

Cell: 10.145 4.116 7.691 Å, 90.00 110.43 90.00°
Space group C2/m (No. 12)
Symmetry-distinct sites (fractional):
Sc (0.000, 0.000, 0.000) (multiplicity 2)
Sc (0.121, 0.500, 0.697) (multiplicity 4)
Si (0.087, 0.000, 0.411) (multiplicity 4)
Si (0.223, 0.500, 0.074) (multiplicity 4)
Os (0.177, 0.500, 0.353) (multiplicity 4)

Calculated values
Crystal system: monoclinic
N(E_F): 8.5 states/eV per cell
Volume: 16.72 Å³/atom
ΔE_f (raw): -0.7531 eV per atom
E: -7.7694 eV/atom



(3)
A plane-wave DFT calculation with PBE was carried out for crystalline TbScSi2Os at its relaxed geometry.

Cell: 4.022 4.022 11.230 Å, 90.00 90.00 90.00°
Space group I-4m2 (No. 119)
Symmetry-distinct sites (fractional):
Tb (0.000, 0.000, 0.000) (multiplicity 2)
Sc (0.000, 0.500, 0.250) (multiplicity 2)
Si (0.000, 0.000, 0.395) (multiplicity 4)
Os (0.000, 0.500, 0.750) (multiplicity 2)

Calculated values
Crystal system: tetragonal
N(E_F): 4.6 states/eV per cell
Volume: 18.16 Å³/atom
ΔE_f (raw): -0.7275 eV per atom
E: -7.3350 eV/atom



(4)
A plane-wave DFT calculation with PBE was carried out for crystalline ThScSi2Os at its relaxed geometry.

Cell: 4.149 4.149 10.982 Å, 90.00 90.00 90.00°
Space group I-4m2 (No. 119)
Symmetry-distinct sites (fractional):
Th (0.000, 0.000, 0.000) (multiplicity 2)
Sc (0.000, 0.500, 0.750) (multiplicity 2)
Si (0.000, 0.000, 0.390) (multiplicity 4)
Os (0.000, 0.500, 0.250) (multiplicity 2)

Calculated values
Crystal system: tetragonal
N(E_F): 3.9 states/eV per cell
Volume: 18.91 Å³/atom
ΔE_f (raw): -0.7468 eV per atom
E: -7.9122 eV/atom



(5)
A plane-wave DFT calculation with PBE was carried out for crystalline SmSc3Os at its relaxed geometry.

Cell: 5.100 5.100 5.100 Å, 90.00 90.00 90.00°
Space group Pm-3m (No. 221)
Symmetry-distinct sites (fractional):
Sm (0.000, 0.000, 0.000) (multiplicity 1)
Sc (0.000, 0.500, 0.500) (multiplicity 3)
Os (0.500, 0.500, 0.500) (multiplicity 1)

Calculated values
Crystal system: cubic
N(E_F): 6.5 states/eV per cell
Volume: 26.52 Å³/atom
ΔE_f: -0.08 eV/atom
E: -7.0644 eV/atom



(6)
A plane-wave DFT calculation with PBE was carried out for crystalline Sm2ScOs at its relaxed geometry.

Cell: 3.3916 3.3916 31.9969 Å, 90.00 90.00 120.00°
Space group R-3m (No. 166, hexagonal axes)
Symmetry-distinct sites (fractional):
Sm (0.0000, 0.0000, 0.1010) (multiplicity 6)
Sc (0.0000, 0.0000, 0.0000) (multiplicity 3)
Os (0.0000, 0.0000, 0.5000) (multiplicity 3)

Calculated values
Crystal system: trigonal
N(E_F): 17.6 states/eV per cell
Volume: 26.56 Å³/atom
ΔE_f: 0.40 eV/atom
E: -6.3523 eV/atom